# 1
The following is a GGA-PBEsol calculation of an optimized crystal structure of Li3AlCrO5, from Alexandria.

**Space-group type**: Pna2_1
**Formation energy from raw total energies**: -2268 meV/atom
**Calculated volume**: 10.31 Å³ per atom
**E**: -69.16 eV/f.u.

Lattice parameters (Å, degrees): 4.842 5.368 15.868 90.00 90.00 90.00
Fractional coordinates of all 40 atoms:
Li  0.012  0.667  0.601
Li  0.012  0.167  0.899
Li  0.013  0.665  0.000
Li  0.013  0.165  0.500
Li  0.500  0.329  0.800
Li  0.500  0.829  0.700
Li  0.512  0.333  0.399
Li  0.512  0.833  0.101
Li  0.513  0.335  0.000
Li  0.513  0.835  0.500
Li  0.000  0.171  0.300
Li  0.000  0.671  0.200
Al  0.998  0.164  0.702
Al  0.998  0.664  0.798
Al  0.498  0.336  0.202
Al  0.498  0.836  0.298
Cr  0.009  0.165  0.097
Cr  0.009  0.665  0.403
Cr  0.509  0.335  0.597
Cr  0.509  0.835  0.903
O  0.094  0.348  0.790
O  0.094  0.848  0.710
O  0.108  0.314  0.006
O  0.108  0.814  0.494
O  0.105  0.357  0.399
O  0.105  0.857  0.101
O  0.130  0.324  0.193
O  0.130  0.824  0.307
O  0.134  0.307  0.610
O  0.134  0.807  0.890
O  0.594  0.652  0.210
O  0.594  0.152  0.290
O  0.608  0.186  0.506
O  0.608  0.686  0.994
O  0.605  0.143  0.899
O  0.605  0.643  0.601
O  0.630  0.176  0.693
O  0.630  0.676  0.807
O  0.634  0.193  0.110
O  0.634  0.693  0.390


# 2
The following is a GGA-PBEsol calculation of an optimized crystal structure of Ta5Rh, from Alexandria.

**ΔH_f (0 K)**: -115.4 kJ/mol of formula units
**Space-group type**: Cmmm
**Calculated volume**: 16.83 Å³ per atom
**E**: -72.09 eV/f.u.

Lattice parameters (Å, degrees): 3.253 4.580 6.969 90.00 103.50 90.00
Fractional coordinates of all 6 atoms:
Rh  0.000  0.000  0.000
Ta  0.167  0.500  0.333
Ta  0.337  0.000  0.674
Ta  0.500  0.500  0.000
Ta  0.663  0.000  0.326
Ta  0.833  0.500  0.667


# 3
The following is a GGA-PBEsol calculation of an optimized crystal structure of BaReCl2, from Alexandria.

**Space-group type**: Fm-3m
**Formation energy from raw total energies**: 142 meV/atom
**Calculated volume**: 25.30 Å³ per atom
**E**: -18.93 eV/f.u.

Lattice parameters (Å, degrees): 5.231 5.231 5.231 60.00 60.00 60.00
Fractional coordinates of all 4 atoms:
Re  0.500  0.500  0.500
Ba  0.000  0.000  0.000
Cl  0.750  0.750  0.750
Cl  0.250  0.250  0.250


# 4
The following is a GGA-PBEsol calculation of an optimized crystal structure of Cd2FeOsI, from Alexandria.

**Space-group type**: P4/mmm
**Formation energy from raw total energies**: 1007 meV/atom
**Calculated volume**: 24.83 Å³ per atom
**E**: -20.31 eV/f.u.

Lattice parameters (Å, degrees): 4.451 5.281 5.281 90.00 90.00 90.00
Fractional coordinates of all 5 atoms:
I  0.500  0.500  0.500
Os  0.000  0.000  0.000
Fe  0.500  0.000  0.000
Cd  0.000  0.000  0.500
Cd  0.000  0.500  0.000


# 5
The following is a GGA-PBEsol calculation of an optimized crystal structure of Li2AgOs, from Alexandria.

**ΔH_f (0 K)**: 105.0 kJ/mol of formula units
**Space-group type**: Pmmm
**Calculated volume**: 14.31 Å³ per atom
**E**: -18.37 eV/f.u.

Lattice parameters (Å, degrees): 2.602 4.577 4.807 90.00 90.00 90.00
Fractional coordinates of all 4 atoms:
Ag  0.000  0.500  0.500
Li  0.000  0.000  0.000
Li  0.500  0.000  0.500
Os  0.500  0.500  0.000


# 6
The following is a GGA-PBEsol calculation of an optimized crystal structure of Cr2Co2Os, from Alexandria.

**ΔH_f (0 K)**: 265.8 kJ/mol of formula units
**Space-group type**: I4/mmm
**Calculated volume**: 11.88 Å³ per atom
**E**: -45.42 eV/f.u.

Lattice parameters (Å, degrees): 3.390 3.390 5.696 107.31 107.31 90.00
Fractional coordinates of all 5 atoms:
Co  0.250  0.750  0.500
Co  0.750  0.250  0.500
Cr  0.601  0.601  0.201
Cr  0.399  0.399  0.799
Os  0.000  0.000  0.000


no.,mass density (kg/m³)
1,2896
2,16574
3,6473
4,7997
5,9049
6,11523